A plane-wave DFT calculation with meta-GGA SCAN was carried out for a PBEsol-optimized structure of TaCu2Cl.

```
TaCu2Cl
1.0
2.791 0.000 0.000
0.000 4.370 0.000
0.000 0.000 4.884
Ta Cu Cl
1 2 1
Cartesian
0.000 0.000 0.000
1.395 0.000 2.536
1.395 2.185 3.653
0.000 2.185 1.055
```

The value obtained for the uncorrected formation energy is 0.29 eV per atom. Its energy relative to the lowest polymorph listed for this composition is 0.0 kJ per mole of atoms. The space-group type is No. 25.